# CoBNO | the Open Quantum Materials Database | GGA+U | relaxed
data_CoBNO
_space_group_name_H-M_alt 'P 1'
_space_group_IT_number 1
_space_group_name_Hall 'P 1'
_cell_length_a 3.177
_cell_length_b 3.177
_cell_length_c 6.950
_cell_angle_alpha 90.00
_cell_angle_beta 90.00
_cell_angle_gamma 90.00
loop_
_atom_site_label
_atom_site_fract_x
_atom_site_fract_y
_atom_site_fract_z
Co1 0.250 0.750 0.000
Co2 0.750 0.250 0.000
B1 0.250 0.250 0.430
B2 0.750 0.750 0.570
N1 0.250 0.250 0.861
N2 0.750 0.750 0.139
O1 0.250 0.750 0.500
O2 0.750 0.250 0.500
# - Total energy: -46.39 eV per cell
# - Distance to the lowest polymorph of the same formula: 5.734 eV/f.u.
# - Crystal system: tetragonal